1.
A geometry-optimized Lu4CuBiN2 structure, computed with PBE.

Output
crystal system: hexagonal
raw total energy: -6.32 eV/atom
symmetry: P-6m2, No. 187
total magnetic moment: 0.0 μB/f.u.

Cell lengths 3.4619, 3.4619, 14.2031 Å; angles 90.00, 90.00, 120.00 degrees
Last column: nearest neighbours and their distance in Å.
Fractional coordinates of all 8 atoms:
Lu1 0.0000 0.0000 0.1389  3 N 2.50
Lu2 0.0000 0.0000 0.8611  3 N 2.50
Lu3 0.6667 0.3333 0.3218  3 N 2.28
Lu4 0.6667 0.3333 0.6782  3 N 2.28
Cu1 0.6667 0.3333 0.0000  6 Lu 2.81
Bi1 0.0000 0.0000 0.5000  6 Lu 3.23, 6 Bi 3.46
N1 0.3333 0.6667 0.2441  6 Lu 2.28-2.50
N2 0.3333 0.6667 0.7559  6 Lu 2.28-2.50

2.
A geometry-optimized Lu4CuBiN2 structure, computed with PBE.

Output
crystal system: hexagonal
raw total energy: -6.32 eV/atom
symmetry: P-6m2, No. 187
total magnetic moment: 0.0 μB/f.u.

Cell lengths 3.4628, 3.4628, 14.2076 Å; angles 90.00, 90.00, 120.00 degrees
Last column: nearest neighbours and their distance in Å.
Fractional coordinates of all 8 atoms:
Lu1 0.0000 0.0000 0.1391  3 N 2.50
Lu2 0.0000 0.0000 0.8609  3 N 2.50
Lu3 0.3333 0.6667 0.3223  3 N 2.28
Lu4 0.3333 0.6667 0.6777  3 N 2.28
Cu1 0.3333 0.6667 0.0000  6 Lu 2.81
Bi1 0.0000 0.0000 0.5000  6 Lu 3.22, 6 Bi 3.46
N1 0.6667 0.3333 0.2448  6 Lu 2.28-2.50
N2 0.6667 0.3333 0.7552  6 Lu 2.28-2.50

3.
A geometry-optimized LuNbCuBi structure, computed with PBE.

Output
crystal system: cubic
symmetry: F-43m, No. 216
total magnetic moment: 0.9 μB/f.u.
energy above the lowest structure with this stoichiometry: 0.0 meV per atom

Cell lengths 4.9235, 4.9235, 4.9235 Å; angles 60.00, 60.00, 60.00 degrees
Last column: nearest neighbours and their distance in Å.
Fractional coordinates of all 4 atoms:
Lu1 0.0000 0.0000 0.0000  4 Cu 3.01, 4 Nb 3.01
Nb1 0.2500 0.2500 0.2500  4 Bi 3.01, 4 Lu 3.01
Cu1 0.7500 0.7500 0.7500  4 Bi 3.01, 4 Lu 3.01
Bi1 0.5000 0.5000 0.5000  4 Cu 3.01, 4 Nb 3.01